GdErAgSb | Alexandria via LeMat-Bulk | PBE | optimized geometry; calculated volume = 101 Å³/f.u.; formation energy without anion corrections = -0.560 eV/atom; crystal system = cubic; symmetry = No. 216; VASP energy = -0.5119 Ry/atom
1.0
-0.1829 4.1978 -3.1210
-0.3465 -0.6085 -5.1870
-4.4406 1.2204 -2.4873
Sb Gd Ag Er
1 1 1 1
direct
0.7500 0.7500 0.7500
0.5000 0.5000 0.5000
0.2500 0.2500 0.2500
0.0000 0.0000 0.0000

Rb2NaSn2Se4 | Alexandria via LeMat-Bulk | PBE | optimized geometry; calculated volume = 295 Å³/f.u.; formation energy without anion corrections = -0.791 eV/atom; crystal system = monoclinic; symmetry = No. 12; VASP energy = -0.2639 Ry/atom
1.0
5.4107 0.0000 0.0000
-2.7054 7.4130 0.5369
0.0000 -2.0927 7.1999
Rb Na Sn Se
2 1 2 4
direct
0.8658 0.7316 0.4155
0.1342 0.2684 0.5845
0.0000 0.0000 0.0000
0.3522 0.7044 0.9357
0.6478 0.2956 0.0643
0.8037 0.6075 0.8455
0.1963 0.3925 0.1545
0.4819 0.9639 0.2414
0.5181 0.0361 0.7586

Ni9SbPt2 | Alexandria via LeMat-Bulk | PBE | optimized geometry; calculated volume = 149 Å³/f.u.; formation energy without anion corrections = -0.088 eV/atom; crystal system = tetragonal; symmetry = No. 123; VASP energy = -0.4244 Ry/atom
1.0
-2.7530 2.4396 -0.3098
-2.0738 -2.0532 2.2606
3.9258 5.5248 8.6191
Ni Sb Pt
9 1 2
direct
0.5000 0.5000 0.0000
0.5000 0.5000 0.3344
0.5000 0.5000 0.6656
0.5000 0.0000 0.1703
0.5000 0.0000 0.5000
0.5000 0.0000 0.8297
0.0000 0.5000 0.1703
0.0000 0.5000 0.5000
0.0000 0.5000 0.8297
0.0000 0.0000 0.0000
0.0000 0.0000 0.3371
0.0000 0.0000 0.6629

Tm3Pd8Au2 | Alexandria via LeMat-Bulk | PBE | optimized geometry; calculated volume = 248 Å³/f.u.; crystal system = trigonal; symmetry = No. 166; VASP energy = -0.3863 Ry/atom
1.0
-0.4018 1.9192 4.9324
-1.9016 -3.0653 3.8937
8.6626 -3.6442 4.9796
Tm Pd Au
3 8 2
direct
0.0000 0.0000 0.0000
0.8122 0.8122 0.5634
0.1878 0.1878 0.4366
0.7244 0.7244 0.8269
0.2756 0.2756 0.1731
0.2274 0.7310 0.3106
0.7310 0.2274 0.3106
0.7310 0.7310 0.3106
0.2690 0.7726 0.6894
0.7726 0.2690 0.6894
0.2690 0.2690 0.6894
0.6387 0.6387 0.0840
0.3613 0.3613 0.9160